{"formula": "Rb2AgTeO6", "functional": "PBE", "state": "relaxed", "lattice_angstrom": [[-2.659, 4.211, 2.490], [-3.787, 0.571, -5.010], [-1.609, -3.824, 4.749]], "species": ["Rb", "Rb", "Ag", "Te", "O", "O", "O", "O", "O", "O"], "frac_coords": [[0.253, 0.333, 0.667], [0.747, 0.667, 0.333], [0.500, 0.000, 0.000], [0.000, 0.000, 0.000], [0.778, 0.140, 0.280], [0.778, 0.140, 0.860], [0.778, 0.720, 0.860], [0.222, 0.860, 0.140], [0.222, 0.280, 0.140], [0.222, 0.860, 0.720]], "raw_formation_energy_mev_per_atom": -861, "m_tot_mub_per_fu": 1.05, "n_ef_per_ev_cell": 4.519, "spacegroup": "P-3m1"}

***

{"formula": "LiBeSb2", "functional": "PBE", "state": "relaxed", "lattice_angstrom": [[-3.735, -1.120, -1.158], [-0.753, -0.474, 2.889], [-1.936, 7.356, -0.871]], "species": ["Be", "Li", "Sb", "Sb"], "frac_coords": [[0.000, 0.422, 0.478], [0.500, 0.674, 0.968], [0.000, 0.070, 0.758], [0.500, 0.333, 0.297]], "raw_formation_energy_mev_per_atom": -11, "m_tot_mub_per_fu": 0.00, "n_ef_per_ev_cell": 1.715, "spacegroup": "Pm"}

***

{"formula": "NbSiP", "functional": "PBE", "state": "relaxed", "lattice_angstrom": [[3.449, 0.000, 0.000], [0.000, 3.531, 0.000], [0.000, 0.000, 15.496]], "species": ["P", "P", "P", "P", "Nb", "Nb", "Nb", "Nb", "Si", "Si", "Si", "Si"], "frac_coords": [[0.000, 0.000, 0.550], [0.500, 0.500, 0.050], [0.000, 0.500, 0.376], [0.500, 0.000, 0.876], [0.000, 0.500, 0.816], [0.500, 0.000, 0.316], [0.000, 0.000, 0.998], [0.500, 0.500, 0.498], [0.000, 0.000, 0.693], [0.500, 0.500, 0.193], [0.000, 0.000, 0.180], [0.500, 0.500, 0.680]], "raw_formation_energy_mev_per_atom": -554, "m_tot_mub_per_fu": 0.00, "n_ef_per_ev_cell": 2.618, "spacegroup": "Imm2"}

***

{"formula": "LaYSi2Pt5", "functional": "PBE", "state": "relaxed", "lattice_angstrom": [[4.271, 0.000, 0.000], [0.000, 4.271, 0.000], [0.000, 0.000, 9.000]], "species": ["La", "Y", "Si", "Si", "Pt", "Pt", "Pt", "Pt", "Pt"], "frac_coords": [[0.000, 0.000, 0.500], [0.000, 0.000, 0.000], [0.500, 0.500, 0.132], [0.500, 0.500, 0.868], [0.000, 0.500, 0.257], [0.500, 0.000, 0.257], [0.000, 0.500, 0.743], [0.500, 0.000, 0.743], [0.500, 0.500, 0.500]], "raw_formation_energy_mev_per_atom": -1035, "m_tot_mub_per_fu": 0.00, "n_ef_per_ev_cell": 3.495, "spacegroup": "P4/mmm"}

***

{"formula": "Pm7In", "functional": "PBE", "state": "relaxed", "lattice_angstrom": [[-4.722, -4.661, 2.678], [-0.447, -6.603, -2.720], [2.278, -5.605, 3.820]], "species": ["Pm", "Pm", "Pm", "Pm", "Pm", "Pm", "Pm", "In"], "frac_coords": [[0.500, 0.500, 0.000], [0.500, 0.000, 0.500], [0.000, 0.500, 0.500], [0.500, 0.000, 0.000], [0.000, 0.500, 0.000], [0.000, 0.000, 0.500], [0.500, 0.500, 0.500], [0.000, 0.000, 0.000]], "m_tot_mub_per_fu": 0.00, "formation_enthalpy_0k_ev_per_atom": -0.078, "n_ef_per_ev_cell": 10.478, "spacegroup": "Fm-3m"}

***

{"formula": "TiTlSbN2", "functional": "PBE", "state": "relaxed", "lattice_angstrom": [[-3.090, -2.402, -1.060], [2.717, -1.346, -4.872], [1.791, -3.125, 1.862]], "species": ["Sb", "Tl", "N", "N", "Ti"], "frac_coords": [[0.500, 0.500, 0.500], [0.000, 0.500, 0.000], [0.000, 0.000, 0.500], [0.500, 0.000, 0.000], [0.000, 0.000, 0.000]], "raw_formation_energy_mev_per_atom": 671, "m_tot_mub_per_fu": 0.52, "n_ef_per_ev_cell": 3.017, "spacegroup": "P4/mmm"}

***

{"formula": "Si4Pt5", "functional": "PBE", "state": "relaxed", "lattice_angstrom": [[2.755, -2.150, 4.903], [-1.702, 5.297, -2.302], [-5.512, -2.048, 1.293]], "species": ["Si", "Si", "Si", "Si", "Pt", "Pt", "Pt", "Pt", "Pt"], "frac_coords": [[0.324, 0.000, 0.324], [0.676, 0.000, 0.676], [0.000, 0.676, 0.676], [0.000, 0.324, 0.324], [0.000, 0.000, 0.000], [0.325, 0.675, 0.000], [0.675, 0.325, 0.000], [0.675, 0.675, 0.350], [0.325, 0.325, 0.650]], "raw_formation_energy_mev_per_atom": -185, "m_tot_mub_per_fu": 0.00, "n_ef_per_ev_cell": 6.364, "spacegroup": "I4/mmm"}

***

{"formula": "Tb3MnAs2Rh9", "functional": "PBE", "state": "relaxed", "lattice_angstrom": [[-3.986, 4.761, -1.138], [-1.429, -5.841, -1.921], [-3.884, -1.483, 7.397]], "species": ["Tb", "Tb", "Tb", "Mn", "As", "As", "Rh", "Rh", "Rh", "Rh", "Rh", "Rh", "Rh", "Rh", "Rh"], "frac_coords": [[0.333, 0.667, 0.692], [0.000, 0.000, 0.000], [0.667, 0.333, 0.308], [0.000, 0.000, 0.500], [0.333, 0.667, 0.181], [0.667, 0.333, 0.819], [0.857, 0.143, 0.713], [0.857, 0.715, 0.713], [0.285, 0.143, 0.713], [0.715, 0.857, 0.287], [0.143, 0.285, 0.287], [0.143, 0.857, 0.287], [0.500, 0.000, 0.000], [0.000, 0.500, 0.000], [0.500, 0.500, 0.000]], "m_tot_mub_per_fu": 2.98, "formation_enthalpy_0k_ev_per_atom": -0.314, "n_ef_per_ev_cell": 6.754, "spacegroup": "P-3m1"}